DFT (PBE) results for a geometry-optimized LiTb2Eu structure.

Computed properties:
Mass density in g/cm3: 5.947
Uncorrected energy in eV per atom: -5.090
Energy of formation from the pure elements in meV per atom: 272
Total magnetization in μB per atom: 2.0416

a = 3.5067 Å, b = 3.5067 Å, c = 37.5016 Å
α = 90.00°, β = 90.00°, γ = 120.00°
Space group R-3m (No. 166, hexagonal axes)
One atom of each set of equivalent atoms:
Li (0.0000, 0.0000, 0.0000) (multiplicity 3)
Tb (0.0000, 0.0000, 0.0861) (multiplicity 6)
Eu (0.0000, 0.0000, 0.5000) (multiplicity 3)